Record 1
PBE La2Si2I, relaxed; electronic total energy = -5.198 eV per atom
1.0
8.564 0.000 0.000
0.000 8.564 0.000
0.000 0.000 4.016
I Si La
2 4 4
Direct
0.000 0.000 0.000
0.500 0.500 0.000
0.096 0.596 0.500
0.596 0.904 0.500
0.904 0.404 0.500
0.404 0.096 0.500
0.321 0.821 0.000
0.821 0.679 0.000
0.679 0.179 0.000
0.179 0.321 0.000

Record 2
PBE SrPm2CuS4, relaxed; electronic total energy = -5.718 eV per atom
1.0
-1.321 -3.750 0.153
0.868 1.528 -6.769
13.101 -4.589 0.644
Sr Pm Cu S
2 4 2 8
Direct
0.115 0.229 0.750
0.885 0.771 0.250
0.370 0.740 0.559
0.630 0.260 0.059
0.630 0.260 0.441
0.370 0.740 0.941
0.845 0.689 0.750
0.155 0.311 0.250
0.273 0.546 0.123
0.727 0.454 0.623
0.727 0.454 0.877
0.273 0.546 0.377
0.000 0.000 0.500
0.000 0.000 0.000
0.442 0.884 0.750
0.558 0.116 0.250

Record 3
PBE TbH8IrPd2, relaxed; electronic total energy = -4.446 eV per atom
1.0
4.377 0.426 0.553
0.465 4.394 0.681
0.905 1.010 5.849
Tb H Ir Pd
1 8 1 2
Direct
0.000 0.000 0.500
0.112 0.683 0.231
0.770 0.783 0.946
0.687 0.123 0.210
0.888 0.317 0.769
0.230 0.217 0.054
0.313 0.877 0.790
0.585 0.703 0.466
0.415 0.297 0.534
0.000 0.000 0.000
0.460 0.477 0.752
0.540 0.523 0.248

Record 4
PBE Pb2Br, relaxed; distance to the lowest polymorph of the same formula = 2.22 kcal/mol of atoms
1.0
-4.978 0.363 -2.435
3.129 -4.533 -0.741
-1.463 -1.474 2.771
Pb Br
2 1
Direct
0.667 0.333 0.228
0.333 0.667 0.772
0.000 0.000 0.000

Record 5
PBE ZrAlTcS2, relaxed; electronic total energy = -5.540 eV per atom
1.0
-3.680 -2.225 -2.311
3.610 -3.023 -2.837
-0.123 -3.417 3.485
S Tc Zr Al
2 1 1 1
Direct
0.000 0.000 0.500
0.500 0.000 0.000
0.500 0.500 0.500
0.000 0.000 0.000
0.000 0.500 0.000

Record 6
PBE Ba2SrI, relaxed; distance to the lowest polymorph of the same formula = 8.19 kcal/mol of atoms
1.0
4.354 -3.805 3.362
3.747 2.689 4.845
-1.173 -1.570 6.396
I Sr Ba
1 1 2
Direct
0.500 0.500 0.500
0.000 0.000 0.000
0.250 0.250 0.250
0.750 0.750 0.750

Record 7
PBE NaZn3Sb3, relaxed; distance to the lowest polymorph of the same formula = 1.26 kcal/mol of atoms
1.0
-0.793 -4.045 1.398
10.156 -2.714 -2.092
-2.611 3.848 9.653
Na Zn Sb
2 6 6
Direct
0.250 0.667 0.333
0.750 0.333 0.667
0.250 0.075 0.415
0.250 0.584 0.660
0.250 0.339 0.924
0.750 0.925 0.585
0.750 0.416 0.340
0.750 0.661 0.076
0.250 0.592 0.912
0.250 0.088 0.681
0.250 0.320 0.408
0.750 0.408 0.088
0.750 0.912 0.319
0.750 0.680 0.592

Record 8
PBE VTeWN2, relaxed; distance to the lowest polymorph of the same formula = 9.31 kcal/mol of atoms
1.0
-1.076 -3.645 -0.731
1.014 -1.020 3.592
-5.127 1.157 1.777
N Te W V
2 1 1 1
Direct
0.000 0.500 0.000
0.500 0.000 0.000
0.000 0.000 0.500
0.500 0.500 0.500
0.000 0.000 0.000

Record 9
PBE CeAlNi5Ge2, relaxed; DFT formation energy = -0.1444 eV/atom
1.0
4.291 0.000 0.000
0.000 4.291 0.000
0.000 0.000 7.459
Ce Al Ni Ge
1 1 5 2
Direct
0.000 0.000 0.500
0.000 0.000 0.000
0.000 0.500 0.276
0.500 0.000 0.276
0.000 0.500 0.724
0.500 0.000 0.724
0.500 0.500 0.500
0.500 0.500 0.162
0.500 0.500 0.838

Record 10
PBE La6Pm4Tm, relaxed; distance to the lowest polymorph of the same formula = 0.00 kcal/mol of atoms; DFT formation energy = 0.0994 eV/atom
1.0
-4.498 3.819 1.155
2.624 -2.927 4.246
17.313 19.554 2.778
La Pm Tm
12 8 2
Direct
0.500 0.000 0.000
0.500 0.000 0.500
0.118 0.236 0.316
0.882 0.764 0.684
0.882 0.764 0.816
0.118 0.236 0.184
0.795 0.590 0.396
0.205 0.410 0.604
0.205 0.410 0.896
0.795 0.590 0.104
0.443 0.886 0.250
0.557 0.114 0.750
0.851 0.703 0.545
0.448 0.896 0.125
0.149 0.297 0.455
0.552 0.104 0.875
0.851 0.703 0.955
0.149 0.297 0.045
0.552 0.104 0.625
0.448 0.896 0.375
0.784 0.568 0.250
0.216 0.432 0.750

Across the entries above, D(E_F) takes the values 5.791; 2.889; 0.371; 1.102; 3.782; 5.960; 7.489; 4.714; 4.003; 35.096 states/eV/cell, respectively.